Entry 1:
# Tl2SbPb | the Alexandria database | GGA-PBEsol | optimized geometry
data_Tl2SbPb
_cell_length_a 4.948
_cell_length_b 4.948
_cell_length_c 5.822
_cell_angle_alpha 115.15
_cell_angle_beta 115.15
_cell_angle_gamma 90.00
_space_group_name_H-M_alt 'P 1'
_space_group_IT_number 1
_space_group_name_Hall 'P 1'
loop_
_atom_site_label
_atom_site_type_symbol
_atom_site_fract_x
_atom_site_fract_y
_atom_site_fract_z
Tl1 Tl 0.750 0.250 0.500
Tl2 Tl 0.000 0.000 0.000
Sb1 Sb 0.250 0.750 0.500
Pb1 Pb 0.500 0.500 0.000
# Magnetization   0.0 μB per formula unit
# SG   I-4m2
# E_tot   -3.443 eV/atom
# Excess energy over the best structure of this formula in the dataset   0.03 eV per formula unit
# Energy relative to the elements, uncorrected   0.0110 eV per atom


Entry 2:
# Cu3Pt | the Alexandria database | GGA-PBEsol | optimized geometry
data_Cu3Pt
_cell_length_a 4.573
_cell_length_b 5.167
_cell_length_c 8.393
_cell_angle_alpha 90.00
_cell_angle_beta 90.00
_cell_angle_gamma 90.00
_space_group_name_H-M_alt 'P 1'
_space_group_IT_number 1
_space_group_name_Hall 'P 1'
loop_
_atom_site_label
_atom_site_type_symbol
_atom_site_fract_x
_atom_site_fract_y
_atom_site_fract_z
Cu1 Cu 0.755 0.366 0.998
Cu2 Cu 0.245 0.634 0.002
Cu3 Cu 0.755 0.366 0.502
Cu4 Cu 0.422 0.879 0.250
Cu5 Cu 0.745 0.866 0.002
Cu6 Cu 0.245 0.634 0.498
Cu7 Cu 0.255 0.134 0.502
Cu8 Cu 0.255 0.134 0.998
Cu9 Cu 0.922 0.621 0.250
Cu10 Cu 0.078 0.379 0.750
Cu11 Cu 0.578 0.121 0.750
Cu12 Cu 0.745 0.866 0.498
Pt1 Pt 0.575 0.611 0.750
Pt2 Pt 0.425 0.389 0.250
Pt3 Pt 0.925 0.111 0.250
Pt4 Pt 0.075 0.889 0.750
# Magnetization   0.0 μB per formula unit
# SG   Pnma
# E_tot   -5.078 eV/atom
# E_form   -87 meV/atom


Entry 3:
# MgCSN2 | the Alexandria database | GGA-PBEsol | optimized geometry
data_MgCSN2
_cell_length_a 3.179
_cell_length_b 3.179
_cell_length_c 6.726
_cell_angle_alpha 90.00
_cell_angle_beta 90.00
_cell_angle_gamma 90.00
_space_group_name_H-M_alt 'P 1'
_space_group_IT_number 1
_space_group_name_Hall 'P 1'
loop_
_atom_site_label
_atom_site_type_symbol
_atom_site_fract_x
_atom_site_fract_y
_atom_site_fract_z
S1 S 0.000 0.000 0.500
N1 N 0.000 0.500 0.000
N2 N 0.500 0.000 0.000
Mg1 Mg 0.500 0.500 0.500
C1 C 0.000 0.000 0.000
# Magnetization   0.0 μB per formula unit
# SG   P4/mmm
# E_tot   -5.172 eV/atom
# Energy relative to the elements, uncorrected   1.3881 eV per atom


Entry 4:
# CaZnP2Cl | the Alexandria database | GGA-PBEsol | optimized geometry
data_CaZnP2Cl
_cell_length_a 4.457
_cell_length_b 4.457
_cell_length_c 5.478
_cell_angle_alpha 90.00
_cell_angle_beta 90.00
_cell_angle_gamma 90.00
_space_group_name_H-M_alt 'P 1'
_space_group_IT_number 1
_space_group_name_Hall 'P 1'
loop_
_atom_site_label
_atom_site_type_symbol
_atom_site_fract_x
_atom_site_fract_y
_atom_site_fract_z
P1 P 0.500 0.000 0.000
P2 P 0.000 0.500 0.000
Zn1 Zn 0.000 0.000 0.000
Ca1 Ca 0.500 0.500 0.500
Cl1 Cl 0.000 0.000 0.500
# Magnetization   0.0 μB per formula unit
# SG   P4/mmm
# E_tot   -3.728 eV/atom
# Energy relative to the elements, uncorrected   -0.2670 eV per atom


Entry 5:
# CrInCl2 | the Alexandria database | GGA-PBEsol | optimized geometry
data_CrInCl2
_cell_length_a 3.246
_cell_length_b 3.246
_cell_length_c 8.557
_cell_angle_alpha 79.06
_cell_angle_beta 79.06
_cell_angle_gamma 60.00
_space_group_name_H-M_alt 'P 1'
_space_group_IT_number 1
_space_group_name_Hall 'P 1'
loop_
_atom_site_label
_atom_site_type_symbol
_atom_site_fract_x
_atom_site_fract_y
_atom_site_fract_z
Cr1 Cr 0.495 0.495 0.515
In1 In 0.243 0.243 0.271
Cl1 Cl 0.776 0.776 0.671
Cl2 Cl 0.986 0.986 0.043
# Magnetization   1.0 μB per formula unit
# SG   R3m
# E_tot   -4.694 eV/atom
# Excess energy over the best structure of this formula in the dataset   0.31 eV per formula unit
# Energy relative to the elements, uncorrected   -0.3834 eV per atom


Entry 6:
# LiBi2Pd | the Alexandria database | GGA-PBEsol | optimized geometry
data_LiBi2Pd
_cell_length_a 4.936
_cell_length_b 4.936
_cell_length_c 4.936
_cell_angle_alpha 60.00
_cell_angle_beta 60.00
_cell_angle_gamma 60.00
_space_group_name_H-M_alt 'P 1'
_space_group_IT_number 1
_space_group_name_Hall 'P 1'
loop_
_atom_site_label
_atom_site_type_symbol
_atom_site_fract_x
_atom_site_fract_y
_atom_site_fract_z
Li1 Li 0.000 0.000 0.000
Bi1 Bi 0.750 0.750 0.750
Bi2 Bi 0.250 0.250 0.250
Pd1 Pd 0.500 0.500 0.500
# Magnetization   0.0 μB per formula unit
# SG   Fm-3m
# E_tot   -4.457 eV/atom
# E_form   -333 meV/atom


Entry 7:
# SrSiP2 | the Alexandria database | GGA-PBEsol | optimized geometry
data_SrSiP2
_cell_length_a 3.467
_cell_length_b 3.467
_cell_length_c 7.325
_cell_angle_alpha 90.00
_cell_angle_beta 90.00
_cell_angle_gamma 90.00
_space_group_name_H-M_alt 'P 1'
_space_group_IT_number 1
_space_group_name_Hall 'P 1'
loop_
_atom_site_label
_atom_site_type_symbol
_atom_site_fract_x
_atom_site_fract_y
_atom_site_fract_z
P1 P 0.000 0.000 0.007
P2 P 0.500 0.500 0.384
Sr1 Sr 0.500 0.500 0.796
Si1 Si 0.000 0.000 0.313
# Magnetization   0.0 μB per formula unit
# SG   P4mm
# E_tot   -4.976 eV/atom
# Energy relative to the elements, uncorrected   -0.1835 eV per atom


Entry 8:
# K2HfF6 | the Alexandria database | GGA-PBEsol | optimized geometry
data_K2HfF6
_cell_length_a 6.006
_cell_length_b 6.006
_cell_length_c 6.006
_cell_angle_alpha 60.00
_cell_angle_beta 60.00
_cell_angle_gamma 60.00
_space_group_name_H-M_alt 'P 1'
_space_group_IT_number 1
_space_group_name_Hall 'P 1'
loop_
_atom_site_label
_atom_site_type_symbol
_atom_site_fract_x
_atom_site_fract_y
_atom_site_fract_z
F1 F 0.234 0.234 0.766
F2 F 0.234 0.766 0.766
F3 F 0.234 0.766 0.234
F4 F 0.766 0.234 0.234
F5 F 0.766 0.766 0.234
F6 F 0.766 0.234 0.766
Hf1 Hf 0.000 0.000 0.000
K1 K 0.750 0.750 0.750
K2 K 0.250 0.250 0.250
# Magnetization   0.0 μB per formula unit
# SG   Fm-3m
# E_tot   -6.118 eV/atom
# Energy relative to the elements, uncorrected   -3.4138 eV per atom